# BeNiAg2 | Alexandria | GGA-PBEsol | optimized geometry
# **DOS at the Fermi energy**: 2.09 states/eV/cell
# **Formation energy from the elements**: 0.10 eV per atom
# **Magnetization**: 0.0 μB per formula unit
# **ρ**: 8961 kg/m³
# **Space group**: No. 160
data_BeNiAg2
_chemical_formula_sum 'Be1 Ni1 Ag2'
_space_group_name_H-M_alt 'P 1'
_space_group_IT_number 1
_space_group_name_Hall 'P 1'
_cell_length_a 2.7226
_cell_length_b 2.7226
_cell_length_c 8.3320
_cell_angle_alpha 80.60
_cell_angle_beta 80.60
_cell_angle_gamma 60.00
loop_
_atom_site_label
_atom_site_type_symbol
_atom_site_fract_x
_atom_site_fract_y
_atom_site_fract_z
Ni1 Ni 0.7625 0.7625 0.7126
Ag1 Ag 0.0064 0.0064 0.9808
Ag2 Ag 0.2392 0.2392 0.2825
Be1 Be 0.4919 0.4919 0.5242

# BeNi2Ag | Alexandria | GGA-PBEsol | optimized geometry
# **DOS at the Fermi energy**: 2.50 states/eV/cell
# **Formation energy from the elements**: 0.03 eV per atom
# **Magnetization**: 0.0 μB per formula unit
# **ρ**: 8556 kg/m³
# **Space group**: No. 166
data_BeNi2Ag
_chemical_formula_sum 'Be1 Ni2 Ag1'
_space_group_name_H-M_alt 'P 1'
_space_group_IT_number 1
_space_group_name_Hall 'P 1'
_cell_length_a 2.5968
_cell_length_b 2.5968
_cell_length_c 7.9288
_cell_angle_alpha 80.57
_cell_angle_beta 80.57
_cell_angle_gamma 60.00
loop_
_atom_site_label
_atom_site_type_symbol
_atom_site_fract_x
_atom_site_fract_y
_atom_site_fract_z
Ni1 Ni 0.2630 0.2630 0.2109
Ni2 Ni 0.7370 0.7370 0.7891
Ag1 Ag 0.5000 0.5000 0.5000
Be1 Be 0.0000 0.0000 0.0000

# BeSiAg2O4 | Alexandria | GGA-PBEsol | optimized geometry
# **Magnetization**: 0.0 μB per formula unit
# **Raw formation energy**: -1.716 eV per atom
# **ρ**: 5989 kg/m³
# **Space group**: No. 29
data_BeSiAg2O4
_chemical_formula_sum 'Be8 Si8 Ag16 O32'
_space_group_name_H-M_alt 'P 1'
_space_group_IT_number 1
_space_group_name_Hall 'P 1'
_cell_length_a 4.8667
_cell_length_b 9.9951
_cell_length_c 14.4469
_cell_angle_alpha 90.00
_cell_angle_beta 90.00
_cell_angle_gamma 90.00
loop_
_atom_site_label
_atom_site_type_symbol
_atom_site_fract_x
_atom_site_fract_y
_atom_site_fract_z
Be1 Be 0.9645 0.9954 0.4942
Be2 Be 0.0355 0.0046 0.9942
Be3 Be 0.0355 0.4954 0.4942
Be4 Be 0.9645 0.5046 0.9942
Be5 Be 0.5125 0.7591 0.7496
Be6 Be 0.4875 0.2409 0.2496
Be7 Be 0.4875 0.2591 0.7496
Be8 Be 0.5125 0.7409 0.2496
Si1 Si 0.4633 0.5074 0.8758
Si2 Si 0.5367 0.4926 0.3758
Si3 Si 0.5367 0.0074 0.8758
Si4 Si 0.4633 0.9926 0.3758
Si5 Si 0.0123 0.7434 0.6201
Si6 Si 0.9877 0.2566 0.1201
Si7 Si 0.9877 0.2434 0.6201
Si8 Si 0.0123 0.7566 0.1201
Ag1 Ag 0.9928 0.7561 0.8750
Ag2 Ag 0.0072 0.2439 0.3750
Ag3 Ag 0.0072 0.2561 0.8750
Ag4 Ag 0.9928 0.7439 0.3750
Ag5 Ag 0.9849 0.5084 0.7443
Ag6 Ag 0.0151 0.4916 0.2443
Ag7 Ag 0.0151 0.0084 0.7443
Ag8 Ag 0.9849 0.9916 0.2443
Ag9 Ag 0.5004 0.7416 0.4906
Ag10 Ag 0.4996 0.2584 0.9906
Ag11 Ag 0.4996 0.2416 0.4906
Ag12 Ag 0.5004 0.7584 0.9906
Ag13 Ag 0.5030 0.9891 0.6256
Ag14 Ag 0.4970 0.0109 0.1256
Ag15 Ag 0.4970 0.4891 0.6256
Ag16 Ag 0.5030 0.5109 0.1256
O1 O 0.4042 0.6567 0.8309
O2 O 0.5958 0.3433 0.3309
O3 O 0.5958 0.1567 0.8309
O4 O 0.4042 0.8433 0.3309
O5 O 0.7582 0.6924 0.6867
O6 O 0.2418 0.3076 0.1867
O7 O 0.2418 0.1924 0.6867
O8 O 0.7582 0.8076 0.1867
O9 O 0.8565 0.3854 0.0643
O10 O 0.1435 0.6146 0.5643
O11 O 0.1435 0.8854 0.0643
O12 O 0.8565 0.1146 0.5643
O13 O 0.7914 0.4900 0.8979
O14 O 0.2086 0.5100 0.3979
O15 O 0.2086 0.9900 0.8979
O16 O 0.7914 0.0100 0.3979
O17 O 0.7421 0.3100 0.6834
O18 O 0.2579 0.6900 0.1834
O19 O 0.2579 0.8100 0.6834
O20 O 0.7421 0.1900 0.1834
O21 O 0.7114 0.9906 0.9722
O22 O 0.2886 0.0094 0.4722
O23 O 0.2886 0.4906 0.9722
O24 O 0.7114 0.5094 0.4722
O25 O 0.8963 0.8494 0.5420
O26 O 0.1037 0.1506 0.0420
O27 O 0.1037 0.3494 0.5420
O28 O 0.8963 0.6506 0.0420
O29 O 0.6406 0.8911 0.8021
O30 O 0.3594 0.1089 0.3021
O31 O 0.3594 0.3911 0.8021
O32 O 0.6406 0.6089 0.3021

# Be2AgOs | Alexandria | GGA-PBEsol | optimized geometry
# **DOS at the Fermi energy**: 2.10 states/eV/cell
# **Formation energy from the elements**: 0.18 eV per atom
# **Magnetization**: 0.0 μB per formula unit
# **ρ**: 10753 kg/m³
# **Space group**: No. 65
data_Be2AgOs
_chemical_formula_sum 'Be2 Ag1 Os1'
_space_group_name_H-M_alt 'P 1'
_space_group_IT_number 1
_space_group_name_Hall 'P 1'
_cell_length_a 2.6504
_cell_length_b 2.6504
_cell_length_c 7.5608
_cell_angle_alpha 90.00
_cell_angle_beta 90.00
_cell_angle_gamma 113.20
loop_
_atom_site_label
_atom_site_type_symbol
_atom_site_fract_x
_atom_site_fract_y
_atom_site_fract_z
Be1 Be 0.0000 0.0000 0.2648
Be2 Be 0.0000 0.0000 0.7352
Os1 Os 0.5000 0.5000 0.5000
Ag1 Ag 0.5000 0.5000 0.0000

# BeAg2Os | Alexandria | GGA-PBEsol | optimized geometry
# **DOS at the Fermi energy**: 2.28 states/eV/cell
# **Formation energy from the elements**: 0.54 eV per atom
# **Magnetization**: 0.0 μB per formula unit
# **ρ**: 12310 kg/m³
# **Space group**: No. 10
data_BeAg2Os
_chemical_formula_sum 'Be1 Ag2 Os1'
_space_group_name_H-M_alt 'P 1'
_space_group_IT_number 1
_space_group_name_Hall 'P 1'
_cell_length_a 2.6475
_cell_length_b 4.2695
_cell_length_c 5.1266
_cell_angle_alpha 90.00
_cell_angle_beta 104.98
_cell_angle_gamma 90.00
loop_
_atom_site_label
_atom_site_type_symbol
_atom_site_fract_x
_atom_site_fract_y
_atom_site_fract_z
Be1 Be 0.5000 0.5000 0.0000
Os1 Os 0.0000 0.5000 0.5000
Ag1 Ag 0.6466 0.0000 0.7635
Ag2 Ag 0.3534 0.0000 0.2365

# BeAgP2 | Alexandria | GGA-PBEsol | optimized geometry
# **DOS at the Fermi energy**: 0.97 states/eV/cell
# **Formation energy from the elements**: 0.31 eV per atom
# **Magnetization**: 0.0 μB per formula unit
# **ρ**: 5184 kg/m³
# **Space group**: No. 123
data_BeAgP2
_chemical_formula_sum 'Be1 Ag1 P2'
_space_group_name_H-M_alt 'P 1'
_space_group_IT_number 1
_space_group_name_Hall 'P 1'
_cell_length_a 3.3242
_cell_length_b 3.3242
_cell_length_c 5.1842
_cell_angle_alpha 90.00
_cell_angle_beta 90.00
_cell_angle_gamma 90.00
loop_
_atom_site_label
_atom_site_type_symbol
_atom_site_fract_x
_atom_site_fract_y
_atom_site_fract_z
P1 P 0.0000 0.0000 0.7027
P2 P 0.0000 0.0000 0.2973
Ag1 Ag 0.5000 0.5000 0.0000
Be1 Be 0.5000 0.5000 0.5000

# BeAgP2 | Alexandria | GGA-PBEsol | optimized geometry
# **DOS at the Fermi energy**: 1.82 states/eV/cell
# **Formation energy from the elements**: 0.63 eV per atom
# **Magnetization**: 0.0 μB per formula unit
# **ρ**: 5300 kg/m³
# **Space group**: No. 216
data_BeAgP2
_chemical_formula_sum 'Be1 Ag1 P2'
_space_group_name_H-M_alt 'P 1'
_space_group_IT_number 1
_space_group_name_Hall 'P 1'
_cell_length_a 4.2951
_cell_length_b 4.2951
_cell_length_c 4.2951
_cell_angle_alpha 60.00
_cell_angle_beta 60.00
_cell_angle_gamma 60.00
loop_
_atom_site_label
_atom_site_type_symbol
_atom_site_fract_x
_atom_site_fract_y
_atom_site_fract_z
P1 P 0.0000 0.0000 0.0000
P2 P 0.7500 0.7500 0.7500
Ag1 Ag 0.5000 0.5000 0.5000
Be1 Be 0.2500 0.2500 0.2500

# BeAgP2 | Alexandria | GGA-PBEsol | optimized geometry
# **DOS at the Fermi energy**: 1.66 states/eV/cell
# **Formation energy from the elements**: 0.36 eV per atom
# **Magnetization**: 0.0 μB per formula unit
# **ρ**: 5044 kg/m³
# **Space group**: No. 35
data_BeAgP2
_chemical_formula_sum 'Be1 Ag1 P2'
_space_group_name_H-M_alt 'P 1'
_space_group_IT_number 1
_space_group_name_Hall 'P 1'
_cell_length_a 2.5952
_cell_length_b 2.5952
_cell_length_c 8.8388
_cell_angle_alpha 90.00
_cell_angle_beta 90.00
_cell_angle_gamma 98.52
loop_
_atom_site_label
_atom_site_type_symbol
_atom_site_fract_x
_atom_site_fract_y
_atom_site_fract_z
P1 P 0.0000 0.0000 0.0752
P2 P 0.5000 0.5000 0.7158
Ag1 Ag 0.0000 0.0000 0.4600
Be1 Be 0.5000 0.5000 0.2489

# BeAgP2 | Alexandria | GGA-PBEsol | optimized geometry
# **DOS at the Fermi energy**: 1.21 states/eV/cell
# **Formation energy from the elements**: 0.35 eV per atom
# **Magnetization**: 0.0 μB per formula unit
# **ρ**: 5281 kg/m³
# **Space group**: No. 65
data_BeAgP2
_chemical_formula_sum 'Be1 Ag1 P2'
_space_group_name_H-M_alt 'P 1'
_space_group_IT_number 1
_space_group_name_Hall 'P 1'
_cell_length_a 2.8456
_cell_length_b 2.8456
_cell_length_c 7.2209
_cell_angle_alpha 90.00
_cell_angle_beta 90.00
_cell_angle_gamma 105.91
loop_
_atom_site_label
_atom_site_type_symbol
_atom_site_fract_x
_atom_site_fract_y
_atom_site_fract_z
P1 P 0.0000 0.0000 0.1989
P2 P 0.0000 0.0000 0.8011
Ag1 Ag 0.5000 0.5000 0.5000
Be1 Be 0.5000 0.5000 0.0000

# BeAg3P | Alexandria | GGA-PBEsol | optimized geometry
# **DOS at the Fermi energy**: 0.90 states/eV/cell
# **Formation energy from the elements**: 0.61 eV per atom
# **Magnetization**: 0.0 μB per formula unit
# **ρ**: 7367 kg/m³
# **Space group**: No. 221
data_BeAg3P
_chemical_formula_sum 'Be1 Ag3 P1'
_space_group_name_H-M_alt 'P 1'
_space_group_IT_number 1
_space_group_name_Hall 'P 1'
_cell_length_a 4.3437
_cell_length_b 4.3437
_cell_length_c 4.3437
_cell_angle_alpha 90.00
_cell_angle_beta 90.00
_cell_angle_gamma 90.00
loop_
_atom_site_label
_atom_site_type_symbol
_atom_site_fract_x
_atom_site_fract_y
_atom_site_fract_z
P1 P 0.5000 0.5000 0.5000
Ag1 Ag 0.0000 0.5000 0.0000
Ag2 Ag 0.0000 0.0000 0.5000
Ag3 Ag 0.5000 0.0000 0.0000
Be1 Be 0.0000 0.0000 0.0000

Q: Look up the ρ of the tenth one.
A: 7367 kg/m³